Entry 1:
{"formula": "NaTbHg3S4", "functional": "PBE", "state": "optimized geometry", "lattice": [[6.549, 0.000, 0.000], [0.000, 6.549, 0.000], [0.000, 0.000, 6.549]], "species": ["Na", "Tb", "Hg", "Hg", "Hg", "S", "S", "S", "S"], "fractional_positions": [[0.000, 0.000, 0.000], [0.500, 0.500, 0.500], [0.000, 0.500, 0.500], [0.500, 0.000, 0.500], [0.500, 0.500, 0.000], [0.268, 0.268, 0.268], [0.268, 0.732, 0.732], [0.732, 0.268, 0.732], [0.732, 0.732, 0.268]]}

***

Entry 2:
{"formula": "MgCdTeO", "functional": "PBE", "state": "optimized geometry", "lattice": [[3.750, 0.000, 0.000], [0.000, 13.973, 0.000], [0.000, 0.000, 6.432]], "species": ["Mg", "Mg", "Mg", "Mg", "Cd", "Cd", "Cd", "Cd", "Te", "Te", "Te", "Te", "O", "O", "O", "O"], "fractional_positions": [[0.000, 0.155, 0.000], [0.000, 0.845, 0.500], [0.500, 0.345, 0.500], [0.500, 0.655, 0.000], [0.000, 0.458, 0.135], [0.000, 0.542, 0.635], [0.500, 0.042, 0.635], [0.500, 0.958, 0.135], [0.000, 0.169, 0.448], [0.000, 0.831, 0.948], [0.500, 0.331, 0.948], [0.500, 0.669, 0.448], [0.000, 0.406, 0.464], [0.000, 0.594, 0.964], [0.500, 0.094, 0.964], [0.500, 0.906, 0.464]]}

***

Entry 3:
{"formula": "Li2H6PdO6", "functional": "PBE", "state": "optimized geometry", "lattice": [[5.287, 0.000, 0.000], [-2.644, 4.579, 0.000], [0.000, 0.000, 4.366]], "species": ["Li", "Li", "H", "H", "H", "H", "H", "H", "Pd", "O", "O", "O", "O", "O", "O"], "fractional_positions": [[0.333, 0.667, 0.040], [0.667, 0.333, 0.960], [0.151, 0.788, 0.579], [0.212, 0.362, 0.579], [0.362, 0.151, 0.421], [0.638, 0.849, 0.579], [0.788, 0.638, 0.421], [0.849, 0.212, 0.421], [0.000, 0.000, 0.000], [0.012, 0.684, 0.750], [0.316, 0.327, 0.750], [0.327, 0.012, 0.250], [0.673, 0.988, 0.750], [0.684, 0.673, 0.250], [0.988, 0.316, 0.250]]}

***

Entry 4:
{"formula": "AlAgGe", "functional": "PBE", "state": "optimized geometry", "lattice": [[6.242, 0.000, 0.000], [0.000, 4.230, 0.000], [0.000, 0.000, 8.566]], "species": ["Al", "Al", "Al", "Al", "Ag", "Ag", "Ag", "Ag", "Ge", "Ge", "Ge", "Ge"], "fractional_positions": [[0.232, 0.250, 0.140], [0.268, 0.750, 0.640], [0.732, 0.250, 0.360], [0.768, 0.750, 0.860], [0.046, 0.750, 0.346], [0.454, 0.250, 0.846], [0.546, 0.750, 0.154], [0.954, 0.250, 0.654], [0.179, 0.750, 0.941], [0.321, 0.250, 0.441], [0.679, 0.750, 0.559], [0.821, 0.250, 0.059]]}

***

Entry 5:
{"formula": "ErTm2Lu3Bi2Os", "functional": "PBE", "state": "optimized geometry", "lattice": [[4.207, 0.000, 0.000], [0.000, 7.044, 4.077], [0.000, -7.044, 4.077]], "species": ["Er", "Tm", "Tm", "Lu", "Lu", "Lu", "Bi", "Bi", "Os"], "fractional_positions": [[0.000, 0.000, 0.000], [0.000, 0.234, 0.616], [0.000, 0.616, 0.234], [0.500, 0.385, 0.385], [0.500, 0.616, 0.847], [0.500, 0.847, 0.616], [0.500, 0.283, 0.949], [0.500, 0.949, 0.283], [0.000, 0.614, 0.614]]}

***

Entry 6:
{"formula": "HfCuBiOs", "functional": "PBE", "state": "optimized geometry", "lattice": [[6.666, 0.000, 0.000], [0.000, 6.666, 0.000], [0.000, 0.000, 6.666]], "species": ["Hf", "Hf", "Hf", "Hf", "Cu", "Cu", "Cu", "Cu", "Bi", "Bi", "Bi", "Bi", "Os", "Os", "Os", "Os"], "fractional_positions": [[0.000, 0.000, 0.000], [0.000, 0.500, 0.500], [0.500, 0.000, 0.500], [0.500, 0.500, 0.000], [0.000, 0.000, 0.500], [0.000, 0.500, 0.000], [0.500, 0.000, 0.000], [0.500, 0.500, 0.500], [0.250, 0.250, 0.750], [0.250, 0.750, 0.250], [0.750, 0.250, 0.250], [0.750, 0.750, 0.750], [0.250, 0.250, 0.250], [0.250, 0.750, 0.750], [0.750, 0.250, 0.750], [0.750, 0.750, 0.250]]}

***

Entry 7:
{"formula": "NdHfPO", "functional": "PBE", "state": "optimized geometry", "lattice": [[5.211, 0.000, 0.000], [0.000, 4.005, 0.000], [0.000, 0.000, 7.519]], "species": ["Nd", "Nd", "Hf", "Hf", "P", "P", "O", "O"], "fractional_positions": [[0.250, 0.000, 0.132], [0.750, 0.000, 0.868], [0.250, 0.500, 0.715], [0.750, 0.500, 0.285], [0.250, 0.500, 0.379], [0.750, 0.500, 0.621], [0.250, 0.000, 0.804], [0.750, 0.000, 0.196]]}

***

Entry 8:
{"formula": "ErPt2", "functional": "PBE", "state": "optimized geometry", "formation_energy_mev_per_atom": -1111, "lattice": [[0.000, 3.817, 3.817], [3.817, 0.000, 3.817], [3.817, 3.817, 0.000]], "species": ["Er", "Er", "Pt", "Pt", "Pt", "Pt"], "fractional_positions": [[0.125, 0.125, 0.125], [0.875, 0.875, 0.875], [0.000, 0.500, 0.500], [0.500, 0.000, 0.500], [0.500, 0.500, 0.000], [0.500, 0.500, 0.500]]}

***

Entry 9:
{"formula": "ZnF2", "functional": "PBE", "state": "optimized geometry", "lattice": [[4.372, 0.000, 0.000], [0.000, 4.789, 0.000], [0.000, 0.000, 6.379]], "species": ["Zn", "Zn", "Zn", "Zn", "F", "F", "F", "F", "F", "F", "F", "F"], "fractional_positions": [[0.249, 0.000, 0.125], [0.251, 0.000, 0.625], [0.749, 0.500, 0.875], [0.751, 0.500, 0.375], [0.026, 0.173, 0.375], [0.027, 0.174, 0.875], [0.473, 0.826, 0.375], [0.474, 0.827, 0.875], [0.526, 0.327, 0.625], [0.527, 0.326, 0.125], [0.973, 0.674, 0.625], [0.974, 0.673, 0.125]]}

***

Entry 10:
{"formula": "Tb3Mg2ZnIr2Au", "functional": "PBE", "state": "optimized geometry", "lattice": [[3.975, 0.000, 0.000], [0.000, 6.403, 3.691], [0.000, -6.403, 3.691]], "species": ["Tb", "Tb", "Tb", "Mg", "Mg", "Zn", "Ir", "Ir", "Au"], "fractional_positions": [[0.000, 0.000, 0.000], [0.000, 0.157, 0.563], [0.000, 0.563, 0.157], [0.500, 0.574, 0.826], [0.500, 0.826, 0.574], [0.500, 0.311, 0.311], [0.500, 0.238, 0.904], [0.500, 0.904, 0.238], [0.000, 0.571, 0.571]]}

***

Entry 11:
{"formula": "TbDyGe2", "functional": "PBE", "state": "optimized geometry", "lattice": [[3.948, 0.000, 0.000], [0.000, 5.794, 0.000], [0.000, 0.000, 7.978]], "species": ["Tb", "Tb", "Dy", "Dy", "Ge", "Ge", "Ge", "Ge"], "fractional_positions": [[0.000, 0.132, 0.000], [0.000, 0.868, 0.500], [0.500, 0.368, 0.361], [0.500, 0.632, 0.861], [0.000, 0.393, 0.639], [0.000, 0.607, 0.139], [0.500, 0.107, 0.722], [0.500, 0.893, 0.222]]}

***

Entry 12:
{"formula": "Dy2YCo2C2N3", "functional": "PBE", "state": "optimized geometry", "lattice": [[-1.723, 1.723, 9.706], [1.723, -1.723, 9.706], [1.723, 1.723, -9.706]], "species": ["Dy", "Dy", "Y", "Co", "Co", "C", "C", "N", "N", "N"], "fractional_positions": [[0.127, 0.127, 0.000], [0.873, 0.873, 0.000], [0.500, 0.500, 0.000], [0.250, 0.750, 0.500], [0.750, 0.250, 0.500], [0.306, 0.306, 0.000], [0.694, 0.694, 0.000], [0.000, 0.000, 0.000], [0.380, 0.380, 0.000], [0.620, 0.620, 0.000]]}

***

no.,E (eV per atom)
1,-3.192
2,-3.688
3,-5.032
4,-3.571
5,-5.725
6,-6.842
7,-8.049
8,-6.669
9,-3.949
10,-5.051
11,-5.492
12,-8.257